The following is a DFT calculation (PBE-GGA) of Sm3TmTh after structural relaxation.

The structure belongs to space group Cmmm (No. 65); the cell edges are 5.435, 11.274 and 11.029 Å and the angles 90.00°, 90.00° and 90.00°. Symmetry generates all atoms from Sm at (0.000, 0.000, 0.168), Sm at (0.000, 0.348, 0.303), Tm at (0.000, 0.344, 0.000) and Th at (0.000, 0.136, 0.500).

As for the formation energy: 205 meV/atom. The value obtained for the total magnetization is 0.00 μB/f.u. For the excess energy over the best structure of this formula in the dataset, the calculation gives 0.000 eV/atom. Its crystal system is orthorhombic.

***

The following is a DFT calculation (PBE-GGA) of TiIBr2 after structural relaxation.

The structure belongs to space group R-3m (No. 166, hexagonal axes); the cell edges are 3.5583, 3.5583 and 39.0250 Å and the angles 90.00°, 90.00° and 120.00°. Symmetry generates all atoms from Ti at (0.0000, 0.0000, 0.0000), I at (0.0000, 0.0000, 0.5000) and Br at (0.0000, 0.0000, 0.0597).

The uncorrected formation energy is -0.198 eV/atom. The value obtained for the total magnetization is 0.00 μB/f.u. For the excess energy over the best structure of this formula in the dataset, the calculation gives 0.772 eV/atom. Its crystal system is trigonal.

***

The following is a DFT calculation (PBE-GGA) of Si2Os after structural relaxation.

The structure belongs to space group I4/mcm (No. 140); the cell edges are 5.622, 5.622 and 5.488 Å and the angles 90.00°, 90.00° and 90.00°. Symmetry generates all atoms from Si at (0.149, 0.351, 0.000) and Os at (0.000, 0.000, 0.250).

The uncorrected formation energy is -0.158 eV/atom. The value obtained for the total magnetization is 0.00 μB/f.u. Its crystal system is tetragonal.

***

no.,DOS at the Fermi energy (states/eV/cell)
1,27.6
2,7.7
3,4.8